# PBE Y2ZrSnH, relaxed
# Total moment: 0.00 μB/f.u.
# Final energy: -6.21 eV per atom
data_Y2ZrSnH
_symmetry_space_group_name_H-M 'P 4/m m m'
_symmetry_Int_Tables_number 123
_symmetry_space_group_name_Hall '-P 4 2'
_cell_length_a 4.767
_cell_length_b 4.767
_cell_length_c 4.570
_cell_angle_alpha 90.00
_cell_angle_beta 90.00
_cell_angle_gamma 90.00
loop_
_atom_site_label
_atom_site_type_symbol
_atom_site_fract_x
_atom_site_fract_y
_atom_site_fract_z
Y1 Y 0.000 0.500 0.000
Zr1 Zr 0.000 0.000 0.500
Sn1 Sn 0.500 0.500 0.500
H1 H 0.000 0.000 0.000

---

# PBE Yb3SnH2, relaxed
# Total moment: 0.00 μB/f.u.
# Final energy: -3.20 eV per atom
data_Yb3SnH2
_symmetry_space_group_name_H-M 'C m c m'
_symmetry_Int_Tables_number 63
_symmetry_space_group_name_Hall '-C 2c 2'
_cell_length_a 8.713
_cell_length_b 11.214
_cell_length_c 5.239
_cell_angle_alpha 90.00
_cell_angle_beta 90.00
_cell_angle_gamma 90.00
loop_
_atom_site_label
_atom_site_type_symbol
_atom_site_fract_x
_atom_site_fract_y
_atom_site_fract_z
Yb1 Yb 0.000 0.110 0.250
Yb2 Yb 0.203 0.389 0.250
Sn1 Sn 0.000 0.309 0.750
H1 H 0.151 0.000 0.000

---

# PBE ZnSnH2, relaxed
# ΔE to the lowest computed polymorph: 0.000 eV/atom
# Total moment: 0.00 μB/f.u.
# Final energy: -2.65 eV per atom
data_ZnSnH2
_symmetry_space_group_name_H-M 'I -4 2 d'
_symmetry_Int_Tables_number 122
_symmetry_space_group_name_Hall 'I -4 2bw'
_cell_length_a 5.301
_cell_length_b 5.301
_cell_length_c 8.083
_cell_angle_alpha 90.00
_cell_angle_beta 90.00
_cell_angle_gamma 90.00
loop_
_atom_site_label
_atom_site_type_symbol
_atom_site_fract_x
_atom_site_fract_y
_atom_site_fract_z
Zn1 Zn 0.000 0.000 0.000
Sn1 Sn 0.000 0.000 0.500
H1 H 0.056 0.750 0.125

---

# PBE ZnSnH, relaxed
# ΔE to the lowest computed polymorph: 0.070 eV/atom
# Total moment: 0.00 μB/f.u.
# Final energy: -2.73 eV per atom
data_ZnSnH
_symmetry_space_group_name_H-M 'P 1'
_symmetry_Int_Tables_number 1
_symmetry_space_group_name_Hall 'P 1'
_cell_length_a 4.654
_cell_length_b 5.004
_cell_length_c 5.031
_cell_angle_alpha 113.11
_cell_angle_beta 90.30
_cell_angle_gamma 90.23
loop_
_atom_site_label
_atom_site_type_symbol
_atom_site_fract_x
_atom_site_fract_y
_atom_site_fract_z
Zn1 Zn 0.000 0.000 0.000
Zn2 Zn 0.499 0.019 0.285
Sn1 Sn 0.002 0.297 0.619
Sn2 Sn 0.500 0.729 0.659
H1 H 0.492 0.489 0.090
H2 H 0.529 0.330 0.998

---

What did the first record say?
# PBE Y2ZrSnH, relaxed
# Total moment: 0.00 μB/f.u.
# Final energy: -6.21 eV per atom
data_Y2ZrSnH
_symmetry_space_group_name_H-M 'P 4/m m m'
_symmetry_Int_Tables_number 123
_symmetry_space_group_name_Hall '-P 4 2'
_cell_length_a 4.767
_cell_length_b 4.767
_cell_length_c 4.570
_cell_angle_alpha 90.00
_cell_angle_beta 90.00
_cell_angle_gamma 90.00
loop_
_atom_site_label
_atom_site_type_symbol
_atom_site_fract_x
_atom_site_fract_y
_atom_site_fract_z
Y1 Y 0.000 0.500 0.000
Zr1 Zr 0.000 0.000 0.500
Sn1 Sn 0.500 0.500 0.500
H1 H 0.000 0.000 0.000

---

> Number 1 is which compound?

Y2ZrSnH

---

Repeat the third record exactly.
# PBE ZnSnH2, relaxed
# ΔE to the lowest computed polymorph: 0.000 eV/atom
# Total moment: 0.00 μB/f.u.
# Final energy: -2.65 eV per atom
data_ZnSnH2
_symmetry_space_group_name_H-M 'I -4 2 d'
_symmetry_Int_Tables_number 122
_symmetry_space_group_name_Hall 'I -4 2bw'
_cell_length_a 5.301
_cell_length_b 5.301
_cell_length_c 8.083
_cell_angle_alpha 90.00
_cell_angle_beta 90.00
_cell_angle_gamma 90.00
loop_
_atom_site_label
_atom_site_type_symbol
_atom_site_fract_x
_atom_site_fract_y
_atom_site_fract_z
Zn1 Zn 0.000 0.000 0.000
Sn1 Sn 0.000 0.000 0.500
H1 H 0.056 0.750 0.125